(1)
# HoSbPdPt, relaxed, DFT PBE
# Total moment in μB/f.u.: 0.0
# Raw formation energy in eV/atom: -0.854
# Density of states at the Fermi level in states/eV/cell: 12.07
data_HoSbPdPt
_space_group_name_H-M_alt 'F -4 3 m'
_space_group_IT_number 216
_space_group_name_Hall 'F -4 2 3'
_cell_length_a 6.814
_cell_length_b 6.814
_cell_length_c 6.814
_cell_angle_alpha 90.00
_cell_angle_beta 90.00
_cell_angle_gamma 90.00
loop_
_atom_site_label
_atom_site_type_symbol
_atom_site_fract_x
_atom_site_fract_y
_atom_site_fract_z
_atom_site_occupancy
Ho1 Ho 0.000 0.000 0.000 1
Sb1 Sb 0.000 0.000 0.500 1
Pd1 Pd 0.250 0.250 0.750 1
Pt1 Pt 0.250 0.250 0.250 1

(2)
# HoScPdPt, relaxed, DFT PBE
# Total moment in μB/f.u.: 0.0
# Calculated formation energy in meV per atom: -1063
# Density of states at the Fermi level in states/eV/cell: 13.82
data_HoScPdPt
_space_group_name_H-M_alt 'F -4 3 m'
_space_group_IT_number 216
_space_group_name_Hall 'F -4 2 3'
_cell_length_a 6.800
_cell_length_b 6.800
_cell_length_c 6.800
_cell_angle_alpha 90.00
_cell_angle_beta 90.00
_cell_angle_gamma 90.00
loop_
_atom_site_label
_atom_site_type_symbol
_atom_site_fract_x
_atom_site_fract_y
_atom_site_fract_z
_atom_site_occupancy
Ho1 Ho 0.000 0.000 0.000 1
Sc1 Sc 0.000 0.000 0.500 1
Pd1 Pd 0.250 0.250 0.250 1
Pt1 Pt 0.250 0.250 0.750 1

(3)
# HoScPdPt, relaxed, DFT PBE
# Total moment in μB/f.u.: 0.0
# Calculated formation energy in meV per atom: -1064
# Density of states at the Fermi level in states/eV/cell: 7.42
data_HoScPdPt
_space_group_name_H-M_alt 'A m m 2'
_space_group_IT_number 38
_space_group_name_Hall 'A 2 -2'
_cell_length_a 4.479
_cell_length_b 3.610
_cell_length_c 10.156
_cell_angle_alpha 90.00
_cell_angle_beta 90.00
_cell_angle_gamma 90.00
loop_
_atom_site_label
_atom_site_type_symbol
_atom_site_fract_x
_atom_site_fract_y
_atom_site_fract_z
_atom_site_occupancy
Ho1 Ho 0.000 0.000 0.000 1
Sc1 Sc 0.500 0.000 0.276 1
Pd1 Pd 0.000 0.000 0.729 1
Pt1 Pt 0.500 0.000 0.553 1

(4)
# Ho3Si6Pd2Pt, relaxed, DFT PBE
# Total moment in μB/f.u.: 0.0
# Raw formation energy in eV/atom: -0.533
# Density of states at the Fermi level in states/eV/cell: 3.32
data_Ho3Si6Pd2Pt
_space_group_name_H-M_alt 'P -3 m 1'
_space_group_IT_number 164
_space_group_name_Hall '-P 3 2"'
_cell_length_a 5.4476
_cell_length_b 5.4476
_cell_length_c 8.5353
_cell_angle_alpha 90.00
_cell_angle_beta 90.00
_cell_angle_gamma 120.00
loop_
_atom_site_label
_atom_site_type_symbol
_atom_site_fract_x
_atom_site_fract_y
_atom_site_fract_z
_atom_site_occupancy
Ho1 Ho 0.0000 0.0000 0.0000 1
Ho2 Ho 0.3333 0.6667 0.5872 1
Si1 Si 0.1801 0.3602 0.2780 1
Pd1 Pd 0.3333 0.6667 0.0377 1
Pt1 Pt 0.0000 0.0000 0.5000 1

(5)
# HoSi2PdPt5, relaxed, DFT PBE
# Total moment in μB/f.u.: 0.0
# Raw formation energy in eV/atom: -0.552
# Density of states at the Fermi level in states/eV/cell: 5.88
data_HoSi2PdPt5
_space_group_name_H-M_alt 'P 4/m m m'
_space_group_IT_number 123
_space_group_name_Hall '-P 4 2'
_cell_length_a 3.999
_cell_length_b 3.999
_cell_length_c 10.900
_cell_angle_alpha 90.00
_cell_angle_beta 90.00
_cell_angle_gamma 90.00
loop_
_atom_site_label
_atom_site_type_symbol
_atom_site_fract_x
_atom_site_fract_y
_atom_site_fract_z
_atom_site_occupancy
Ho1 Ho 0.000 0.000 0.000 1
Si1 Si 0.500 0.500 0.215 1
Pd1 Pd 0.000 0.000 0.500 1
Pt1 Pt 0.000 0.500 0.329 1
Pt2 Pt 0.500 0.500 0.000 1

(6)
# Ho2Si3PdPt4, relaxed, DFT PBE
# Total moment in μB/f.u.: 0.0
# Raw formation energy in eV/atom: -0.978
# Density of states at the Fermi level in states/eV/cell: 7.28
data_Ho2Si3PdPt4
_space_group_name_H-M_alt 'P -4 m 2'
_space_group_IT_number 115
_space_group_name_Hall 'P -4 -2'
_cell_length_a 3.974
_cell_length_b 3.974
_cell_length_c 11.174
_cell_angle_alpha 90.00
_cell_angle_beta 90.00
_cell_angle_gamma 90.00
loop_
_atom_site_label
_atom_site_type_symbol
_atom_site_fract_x
_atom_site_fract_y
_atom_site_fract_z
_atom_site_occupancy
Ho1 Ho 0.000 0.500 0.247 1
Si1 Si 0.000 0.000 0.000 1
Si2 Si 0.000 0.500 0.631 1
Pd1 Pd 0.500 0.500 0.000 1
Pt1 Pt 0.000 0.000 0.500 1
Pt2 Pt 0.000 0.500 0.838 1
Pt3 Pt 0.500 0.500 0.500 1

(7)
# Ho2SiPd2Pt4, relaxed, DFT PBE
# Total moment in μB/f.u.: 0.0
# Raw formation energy in eV/atom: -0.995
# Density of states at the Fermi level in states/eV/cell: 9.41
data_Ho2SiPd2Pt4
_space_group_name_H-M_alt 'I 4/m m m'
_space_group_IT_number 139
_space_group_name_Hall '-I 4 2'
_cell_length_a 6.139
_cell_length_b 6.139
_cell_length_c 8.567
_cell_angle_alpha 90.00
_cell_angle_beta 90.00
_cell_angle_gamma 90.00
loop_
_atom_site_label
_atom_site_type_symbol
_atom_site_fract_x
_atom_site_fract_y
_atom_site_fract_z
_atom_site_occupancy
Ho1 Ho 0.000 0.500 0.250 1
Si1 Si 0.000 0.000 0.000 1
Pd1 Pd 0.000 0.000 0.272 1
Pt1 Pt 0.232 0.232 0.500 1

(8)
# Ho3Si6PdPt2, relaxed, DFT PBE
# Total moment in μB/f.u.: 0.0
# Raw formation energy in eV/atom: -0.573
# Density of states at the Fermi level in states/eV/cell: 3.38
data_Ho3Si6PdPt2
_space_group_name_H-M_alt 'P -3 m 1'
_space_group_IT_number 164
_space_group_name_Hall '-P 3 2"'
_cell_length_a 5.2221
_cell_length_b 5.2221
_cell_length_c 9.3715
_cell_angle_alpha 90.00
_cell_angle_beta 90.00
_cell_angle_gamma 120.00
loop_
_atom_site_label
_atom_site_type_symbol
_atom_site_fract_x
_atom_site_fract_y
_atom_site_fract_z
_atom_site_occupancy
Ho1 Ho 0.0000 0.0000 0.0000 1
Ho2 Ho 0.3333 0.6667 0.5780 1
Si1 Si 0.1659 0.3318 0.2789 1
Pd1 Pd 0.0000 0.0000 0.5000 1
Pt1 Pt 0.3333 0.6667 0.0718 1

(9)
# Ho2Si4Pd3Pt, relaxed, DFT PBE
# Total moment in μB/f.u.: 0.0
# Raw formation energy in eV/atom: -0.916
# Density of states at the Fermi level in states/eV/cell: 5.34
data_Ho2Si4Pd3Pt
_space_group_name_H-M_alt 'P -4 m 2'
_space_group_IT_number 115
_space_group_name_Hall 'P -4 -2'
_cell_length_a 4.164
_cell_length_b 4.164
_cell_length_c 9.942
_cell_angle_alpha 90.00
_cell_angle_beta 90.00
_cell_angle_gamma 90.00
loop_
_atom_site_label
_atom_site_type_symbol
_atom_site_fract_x
_atom_site_fract_y
_atom_site_fract_z
_atom_site_occupancy
Ho1 Ho 0.000 0.500 0.247 1
Si1 Si 0.000 0.000 0.000 1
Si2 Si 0.000 0.500 0.633 1
Si3 Si 0.500 0.500 0.000 1
Pd1 Pd 0.000 0.500 0.873 1
Pd2 Pd 0.500 0.500 0.500 1
Pt1 Pt 0.000 0.000 0.500 1

(10)
# SmHoPdPt, relaxed, DFT PBE
# Energy above the lowest structure with this stoichiometry in meV/atom: 59
# Total moment in μB/f.u.: 0.0
# Calculated formation energy in meV per atom: -1014
# Density of states at the Fermi level in states/eV/cell: 15.28
data_SmHoPdPt
_space_group_name_H-M_alt 'F -4 3 m'
_space_group_IT_number 216
_space_group_name_Hall 'F -4 2 3'
_cell_length_a 7.061
_cell_length_b 7.061
_cell_length_c 7.061
_cell_angle_alpha 90.00
_cell_angle_beta 90.00
_cell_angle_gamma 90.00
loop_
_atom_site_label
_atom_site_type_symbol
_atom_site_fract_x
_atom_site_fract_y
_atom_site_fract_z
_atom_site_occupancy
Sm1 Sm 0.000 0.000 0.000 1
Ho1 Ho 0.000 0.000 0.500 1
Pd1 Pd 0.250 0.250 0.750 1
Pt1 Pt 0.250 0.250 0.250 1

(11)
# SmHoPdPt, relaxed, DFT PBE
# Energy above the lowest structure with this stoichiometry in meV/atom: 0
# Total moment in μB/f.u.: 0.0
# Calculated formation energy in meV per atom: -1072
# Density of states at the Fermi level in states/eV/cell: 5.20
data_SmHoPdPt
_space_group_name_H-M_alt 'A m m 2'
_space_group_IT_number 38
_space_group_name_Hall 'A 2 -2'
_cell_length_a 4.512
_cell_length_b 3.801
_cell_length_c 10.659
_cell_angle_alpha 90.00
_cell_angle_beta 90.00
_cell_angle_gamma 90.00
loop_
_atom_site_label
_atom_site_type_symbol
_atom_site_fract_x
_atom_site_fract_y
_atom_site_fract_z
_atom_site_occupancy
Sm1 Sm 0.000 0.000 0.000 1
Ho1 Ho 0.500 0.000 0.725 1
Pd1 Pd 0.500 0.000 0.448 1
Pt1 Pt 0.000 0.000 0.274 1

(12)
# HoSnPdPt, relaxed, DFT PBE
# Total moment in μB/f.u.: 0.0
# Calculated formation energy in meV per atom: -918
# Density of states at the Fermi level in states/eV/cell: 10.35
data_HoSnPdPt
_space_group_name_H-M_alt 'F -4 3 m'
_space_group_IT_number 216
_space_group_name_Hall 'F -4 2 3'
_cell_length_a 6.786
_cell_length_b 6.786
_cell_length_c 6.786
_cell_angle_alpha 90.00
_cell_angle_beta 90.00
_cell_angle_gamma 90.00
loop_
_atom_site_label
_atom_site_type_symbol
_atom_site_fract_x
_atom_site_fract_y
_atom_site_fract_z
_atom_site_occupancy
Ho1 Ho 0.000 0.000 0.000 1
Sn1 Sn 0.000 0.000 0.500 1
Pd1 Pd 0.250 0.250 0.250 1
Pt1 Pt 0.250 0.250 0.750 1